(1)
Y3BiSe3 | Alexandria | GGA-PBE | relaxed; raw formation energy = -10.35 eV per formula unit; energy = -6.2971 eV per atom
1.0
4.135 2.387 7.261
-4.135 2.387 7.261
0.000 -4.775 7.261
Y Bi Se
6 2 6
Cartesian
-1.680 -2.704 8.906
-3.182 0.103 12.878
-1.502 2.807 8.906
1.502 -2.807 12.878
3.182 -0.103 8.906
1.680 2.704 12.878
0.000 0.000 3.616
0.000 0.000 18.167
-2.241 0.125 8.465
-1.229 -1.878 13.318
1.012 -2.003 8.465
-1.012 2.003 13.318
1.229 1.878 8.465
2.241 -0.125 13.318

(2)
Y3Bi2Se | Alexandria | GGA-PBE | relaxed; DOS(E_F) = 0.27 states/eV/atom; raw formation energy = -7.03 eV per formula unit; energy = -6.2780 eV per atom
1.0
0.000 6.166 13.047
4.358 0.000 13.047
4.358 6.166 0.000
Y Bi Se
12 8 4
Cartesian
3.210 1.479 7.539
5.586 4.625 9.785
3.327 1.479 12.031
5.507 4.562 14.063
7.765 7.708 16.309
5.389 4.562 18.555
3.327 7.771 7.539
0.952 4.625 9.785
3.210 7.771 12.031
5.389 10.854 14.063
3.131 7.708 16.309
5.507 10.854 18.555
3.269 4.625 3.304
3.269 4.625 7.666
5.448 7.708 9.828
3.269 4.625 11.905
5.448 7.708 14.189
3.269 4.625 16.266
5.448 7.708 18.428
5.448 7.708 22.790
1.090 1.542 1.085
1.090 1.542 5.438
7.627 10.791 20.656
7.627 10.791 25.008

(3)
Y8BiSe6 | Alexandria | GGA-PBE | relaxed; DOS(E_F) = 0.66 states/eV/atom; raw formation energy = -20.49 eV per formula unit; energy = -6.4660 eV per atom
1.0
10.596 0.000 0.000
-5.298 9.177 0.000
0.000 0.000 4.071
Y Bi Se
8 1 6
Cartesian
-1.348 3.011 1.001
-2.017 8.839 1.001
1.933 2.673 3.071
0.000 6.118 3.060
5.298 3.059 1.011
3.365 6.504 1.001
7.315 0.338 3.071
6.646 6.166 3.071
0.000 0.000 0.000
-2.041 5.963 1.022
1.155 4.427 1.022
4.412 1.214 3.049
0.886 7.963 1.022
4.143 4.749 3.049
7.340 3.214 3.049

(4)
YBi2Se2 | Alexandria | GGA-PBE | relaxed; DOS(E_F) = 0.70 states/eV/atom; raw formation energy = -3.02 eV per formula unit; energy = -4.8436 eV per atom
1.0
7.727 0.000 0.000
0.000 7.727 0.000
0.000 0.000 4.733
Y Bi Se
2 4 4
Cartesian
0.000 0.000 0.000
3.863 3.863 0.000
1.223 2.640 2.367
2.640 6.504 2.367
5.086 1.223 2.367
6.504 5.086 2.367
1.361 5.224 0.000
2.502 1.361 0.000
5.224 6.366 0.000
6.366 2.502 0.000